No. 1
Below is LaCd2Si2 after structural relaxation, with properties calculated at the PBE-GGA level.

a = 4.7590 Å, b = 4.7590 Å, c = 10.1806 Å
α = 90.00°, β = 90.00°, γ = 90.00°
Space group I4/mmm (No. 139)
Symmetry-distinct sites (fractional):
1 La 0.0000 0.0000 0.0000 (multiplicity 2)
2 Cd 0.0000 0.0000 0.3677 (multiplicity 4)
3 Si 0.0000 0.5000 0.2500 (multiplicity 4)

Computed properties:
The calculation puts the uncorrected formation energy at -0.12 eV/atom. The calculation puts the energy above the lowest structure with this stoichiometry at 91 kJ/mol of formula units.

No. 2
Below is Na2TiNb2Se6 after structural relaxation, with properties calculated at the PBE-GGA level.

a = 6.3056 Å, b = 10.9156 Å, c = 7.6250 Å
α = 90.00°, β = 103.59°, γ = 90.00°
Space group C2/m (No. 12)
Symmetry-distinct sites (fractional):
1 Na 0.0000 0.1805 0.0000 (multiplicity 4)
2 Ti 0.0000 0.0000 0.5000 (multiplicity 2)
3 Nb 0.0000 0.3652 0.5000 (multiplicity 4)
4 Se 0.2224 0.1694 0.7017 (multiplicity 8)
5 Se 0.2486 0.0000 0.2633 (multiplicity 4)

Computed properties:
The calculation puts the uncorrected formation energy at -1.00 eV/atom.

No. 3
Below is IrSF after structural relaxation, with properties calculated at the PBE-GGA level.

a = 2.6665 Å, b = 2.6665 Å, c = 13.4829 Å
α = 90.00°, β = 90.00°, γ = 90.00°
Space group I4mm (No. 107)
Symmetry-distinct sites (fractional):
1 Ir 0.0000 0.0000 0.0000 (multiplicity 2)
2 S 0.0000 0.0000 0.8391 (multiplicity 2)
3 F 0.0000 0.0000 0.1445 (multiplicity 2)

Computed properties:
The calculation puts the uncorrected formation energy at -0.32 eV/atom. The calculation puts the energy above the lowest structure with this stoichiometry at 146 kJ/mol of formula units.

No. 4
Below is CaCoAg after structural relaxation, with properties calculated at the PBE-GGA level.

a = 3.4561 Å, b = 3.4561 Å, c = 10.1033 Å
α = 90.00°, β = 90.00°, γ = 90.00°
Space group I4mm (No. 107)
Symmetry-distinct sites (fractional):
1 Ca 0.0000 0.0000 0.0000 (multiplicity 2)
2 Co 0.0000 0.0000 0.3086 (multiplicity 2)
3 Ag 0.0000 0.0000 0.7016 (multiplicity 2)

No. 5
Below is UBiS after structural relaxation, with properties calculated at the PBE-GGA level.

a = 9.1901 Å, b = 4.0664 Å, c = 9.0144 Å
α = 90.00°, β = 110.43°, γ = 90.00°
Space group C2/m (No. 12)
Symmetry-distinct sites (fractional):
1 U 0.1208 0.0000 0.1121 (multiplicity 4)
2 Bi 0.1222 0.5000 0.4195 (multiplicity 4)
3 S 0.1610 0.0000 0.8290 (multiplicity 4)

Computed properties:
The calculation puts the uncorrected formation energy at -0.47 eV/atom. The calculation puts the energy above the lowest structure with this stoichiometry at 51 kJ/mol of formula units.

No. 6
Below is Sr2YZr after structural relaxation, with properties calculated at the PBE-GGA level.

a = 11.9277 Å, b = 3.6259 Å, c = 6.7862 Å
α = 90.00°, β = 100.06°, γ = 90.00°
Space group Cm (No. 8)
Symmetry-distinct sites (fractional):
1 Sr 0.0000 0.0000 0.0000 (multiplicity 2)
2 Sr 0.2346 0.0000 0.7254 (multiplicity 2)
3 Y 0.4712 0.0000 0.4482 (multiplicity 2)
4 Zr 0.2483 0.5000 0.2640 (multiplicity 2)

Computed properties:
The calculation puts the energy above the lowest structure with this stoichiometry at 61 kJ/mol of formula units.

No. 7
Below is Ac2PmMg2 after structural relaxation, with properties calculated at the PBE-GGA level.

a = 5.5274 Å, b = 6.8869 Å, c = 9.4805 Å
α = 90.00°, β = 90.00°, γ = 90.00°
Space group Immm (No. 71)
Symmetry-distinct sites (fractional):
1 Ac 0.0000 0.0000 0.1957 (multiplicity 4)
2 Pm 0.0000 0.5000 0.0000 (multiplicity 2)
3 Mg 0.0000 0.2821 0.5000 (multiplicity 4)

Computed properties:
The calculation puts the energy above the lowest structure with this stoichiometry at 19 kJ/mol of formula units.

No. 8
Below is Ba2LiGd after structural relaxation, with properties calculated at the PBE-GGA level.

a = 3.8434 Å, b = 3.8434 Å, c = 39.7096 Å
α = 90.00°, β = 90.00°, γ = 120.00°
Space group R-3m (No. 166, hexagonal axes)
Symmetry-distinct sites (fractional):
1 Ba 0.0000 0.0000 0.0899 (multiplicity 6)
2 Li 0.0000 0.0000 0.5000 (multiplicity 3)
3 Gd 0.0000 0.0000 0.0000 (multiplicity 3)

Computed properties:
The calculation puts the energy above the lowest structure with this stoichiometry at 68 kJ/mol of formula units.

No. 9
Below is TcSb2As after structural relaxation, with properties calculated at the PBE-GGA level.

a = 6.2074 Å, b = 6.2074 Å, c = 12.0509 Å
α = 90.00°, β = 90.00°, γ = 90.00°
Space group I-42d (No. 122)
Symmetry-distinct sites (fractional):
1 Tc 0.0000 0.0000 0.0000 (multiplicity 4)
2 Sb 0.2227 0.2500 0.1250 (multiplicity 8)
3 As 0.0000 0.0000 0.5000 (multiplicity 4)

Computed properties:
The calculation puts the uncorrected formation energy at 0.46 eV/atom. The calculation puts the energy above the lowest structure with this stoichiometry at 158 kJ/mol of formula units.

No. 10
Below is BaCa2Al after structural relaxation, with properties calculated at the PBE-GGA level.

a = 14.0284 Å, b = 3.9606 Å, c = 6.2056 Å
α = 90.00°, β = 116.13°, γ = 90.00°
Space group C2/m (No. 12)
Symmetry-distinct sites (fractional):
1 Ba 0.0000 0.0000 0.0000 (multiplicity 2)
2 Ca 0.1986 0.0000 0.6988 (multiplicity 4)
3 Al 0.0000 0.5000 0.5000 (multiplicity 2)

No. 11
Below is PmMnInBr6 after structural relaxation, with properties calculated at the PBE-GGA level.

a = 7.2444 Å, b = 7.2444 Å, c = 14.4473 Å
α = 90.00°, β = 90.00°, γ = 120.00°
Space group P-31c (No. 163)
Symmetry-distinct sites (fractional):
1 Pm 0.3333 0.6667 0.2500 (multiplicity 2)
2 Mn 0.3333 0.6667 0.7500 (multiplicity 2)
3 In 0.0000 0.0000 0.0000 (multiplicity 2)
4 Br 0.0190 0.3784 0.6392 (multiplicity 12)

Computed properties:
The calculation puts the uncorrected formation energy at -1.24 eV/atom.

No. 12
Below is Re3C after structural relaxation, with properties calculated at the PBE-GGA level.

a = 2.8477 Å, b = 2.8477 Å, c = 7.1911 Å
α = 90.00°, β = 90.00°, γ = 120.00°
Space group P-6m2 (No. 187)
Symmetry-distinct sites (fractional):
1 Re 0.0000 0.0000 0.0000 (multiplicity 1)
2 Re 0.6667 0.3333 0.3053 (multiplicity 2)
3 C 0.0000 0.0000 0.5000 (multiplicity 1)

Computed properties:
The calculation puts the energy above the lowest structure with this stoichiometry at 0 kJ/mol of formula units.

In μB/f.u., the magnetic moment values for the records above are, in order, 0.0 0.0 0.0 1.4 0.9 0.3 0.0 7.6 0.0 0.0 5.0 0.0.
In eV/cell, the E values for the records above are, in order, -36.443 -125.246 -31.613 -22.132 -82.875 -33.466 -31.807 -55.401 -85.659 -19.728 -75.713 -46.637.
In g/cm3, the theoretical density values for the records above are, in order, 6.0 4.9 8.4 5.7 10.1 4.1 6.0 4.3 6.0 2.6 4.0 18.8.